Material: PIO2
Method: DFT, PBE-GGA
State: relaxed

Its energy is -5.484 eV per atom. The calculation puts the spin magnetization at 0.0 Bohr magnetons per cell. For the formation energy from raw total energies, the calculation gives -1.2647 eV/atom. For the energy above the most stable polymorph in this dataset, the calculation gives 0.0000 eV/atom.

The structure belongs to space group P2_1/c (No. 14); the cell edges are 4.7041, 6.1118 and 13.8975 Å and the angles 90.00°, 94.59° and 90.00°. The asymmetric unit holds P at (0.2444, 0.0423, 0.4743), I at (0.2082, 0.2269, 0.8314), O at (0.0639, 0.1076, 0.5635) and O at (0.4454, 0.6707, 0.9753).